1.
Y2Ho2Ir3: optimized geometry, PBE.

The structure in POSCAR format:
```
Y2Ho2Ir3
1.0
4.618 0.000 -1.293
-2.488 4.096 0.000
-0.151 -0.086 8.396
Ir Y Ho
3 2 2
direct
0.501 0.250 0.752
0.000 0.000 0.000
0.499 0.750 0.248
0.251 0.126 0.376
0.749 0.874 0.624
0.248 0.624 0.873
0.752 0.376 0.127
```

- electronic total energy (eV per cell) = -54.4
- formation energy (kcal/mol of atoms) = -18.9
- magnetic moment (μB/atom) = 0.000
- space group = No. 12

---

2.
Tb5Pm2Sm5: optimized geometry, PBE.

The structure in POSCAR format:
```
Tb5Pm2Sm5
1.0
-3.609 -2.577 2.502
-3.101 -5.521 -4.980
4.747 -9.441 2.305
Tb Pm Sm
5 2 5
direct
0.417 0.917 0.250
0.500 0.500 0.500
0.583 0.083 0.750
0.333 0.333 0.001
0.667 0.667 0.999
0.083 0.584 0.249
0.917 0.416 0.751
0.834 0.833 0.500
0.249 0.750 0.751
0.000 0.000 0.000
0.751 0.250 0.249
0.166 0.167 0.500
```

- electronic total energy (eV per cell) = -56.1
- formation energy (kcal/mol of atoms) = 0.3
- magnetic moment (μB/atom) = 0.000
- space group = No. 12

---

3.
Pr2CuO4: optimized geometry, PBE.

The structure in POSCAR format:
```
Pr2CuO4
1.0
-1.002 -5.226 -4.546
5.403 4.017 1.912
1.353 -3.708 3.964
O Cu Pr
8 2 4
direct
0.235 0.265 0.750
0.186 0.814 0.930
0.765 0.735 0.250
0.686 0.314 0.570
0.265 0.235 0.250
0.814 0.186 0.070
0.735 0.765 0.750
0.314 0.686 0.430
0.000 0.000 0.000
0.500 0.500 0.500
0.639 0.361 0.983
0.139 0.861 0.517
0.861 0.139 0.483
0.361 0.639 0.017
```

- electronic total energy (eV per cell) = -101.7
- magnetic moment (μB/atom) = 0.044
- space group = No. 64
- energy above the lowest structure with this stoichiometry (eV/atom) = 0.067

---

4.
K2NaHgAu: optimized geometry, PBE.

The structure in POSCAR format:
```
K2NaHgAu
1.0
6.351 0.000 0.000
0.000 6.351 0.000
0.000 0.000 5.443
Hg K Na Au
1 2 1 1
direct
0.000 0.000 0.500
0.500 0.000 0.000
0.000 0.500 0.000
0.500 0.500 0.500
0.000 0.000 0.000
```

- electronic total energy (eV per cell) = -7.7
- formation energy (kcal/mol of atoms) = -3.0
- magnetic moment (μB/atom) = 0.000
- space group = No. 123
- energy above the lowest structure with this stoichiometry (eV/atom) = 0.081

---

5.
Tl2NiAs: optimized geometry, PBE.

The structure in POSCAR format:
```
Tl2NiAs
1.0
4.000 -0.056 0.005
2.050 3.435 0.005
1.959 1.095 7.376
Tl As Ni
2 1 1
direct
0.028 0.028 0.922
0.222 0.222 0.327
0.458 0.458 0.624
0.791 0.791 0.626
```

- electronic total energy (eV per cell) = -15.5
- formation energy (kcal/mol of atoms) = -1.9
- magnetic moment (μB/atom) = 0.000
- space group = No. 8
- energy above the lowest structure with this stoichiometry (eV/atom) = 0.000

---

6.
CaCdReAs2: optimized geometry, PBE.

The structure in POSCAR format:
```
CaCdReAs2
1.0
-4.459 2.580 1.071
-1.732 -0.902 -5.041
-2.227 -4.501 1.571
Ca As Re Cd
1 2 1 1
direct
0.000 0.000 0.000
0.000 0.000 0.500
0.500 0.000 0.000
0.000 0.500 0.000
0.500 0.500 0.500
```

- electronic total energy (eV per cell) = -16.4
- formation energy (kcal/mol of atoms) = 38.3
- magnetic moment (μB/atom) = 0.679
- space group = No. 123